An optimized crystal structure of LiSiPdRu, computed with PBE-GGA.

Calculated density, g/cm³: 8.1
Formation energy (no corrections), kJ/mol of formula units: -230
Total magnetic moment, μB per formula unit: 0.0

Unit cell a=5.8461 b=5.8461 c=5.8461 alpha=90.00 beta=90.00 gamma=90.00
Space group F-43m (No. 216)
Inequivalent atoms, fractional coordinates:
Li 0.0000 0.0000 0.0000
Si 0.0000 0.0000 0.5000
Pd 0.2500 0.2500 0.2500
Ru 0.2500 0.2500 0.7500


An optimized crystal structure of RbMn4Cl8, computed with PBE-GGA.

Calculated density, g/cm³: 2.6
Formation energy (no corrections), kJ/mol of formula units: -1394
Total magnetic moment, μB per formula unit: 19.0

Unit cell a=12.7751 b=7.3768 c=10.2156 alpha=90.00 beta=127.94 gamma=90.00
Space group C2/m (No. 12)
Inequivalent atoms, fractional coordinates:
Rb 0.0000 0.0000 0.0000
Mn 0.0000 0.2548 0.5000
Mn 0.2442 0.5000 0.4912
Cl 0.0007 0.0000 0.6727
Cl 0.0060 0.5000 0.6804
Cl 0.2451 0.2478 0.3210


An optimized crystal structure of Cs4Rb3Au4, computed with PBE-GGA.

Calculated density, g/cm³: 4.9
E_form, meV/atom: -191
Total magnetic moment, μB per formula unit: 0.0

Unit cell a=4.6842 b=10.8703 c=20.9122 alpha=90.00 beta=90.00 gamma=90.00
Space group Immm (No. 71)
Inequivalent atoms, fractional coordinates:
Cs 0.0000 0.1906 0.1673
Rb 0.0000 0.0000 0.4105
Rb 0.0000 0.5000 0.5000
Au 0.0000 0.2853 0.0000
Au 0.0000 0.5000 0.2338


An optimized crystal structure of Co2MoOs, computed with PBE-GGA.

Calculated density, g/cm³: 12.6
E_form, meV/atom: 213
Total magnetic moment, μB per formula unit: 3.1

Unit cell a=2.6849 b=2.6849 c=25.6305 alpha=90.00 beta=90.00 gamma=120.00
Space group R3m (No. 160, hexagonal axes)
Inequivalent atoms, fractional coordinates:
Co 0.0000 0.0000 0.0000
Co 0.0000 0.0000 0.2588
Mo 0.0000 0.0000 0.5054
Os 0.0000 0.0000 0.7508


An optimized crystal structure of La2TbY3Ho6, computed with PBE-GGA.

Calculated density, g/cm³: 7.2
E_form, meV/atom: 24
Total magnetic moment, μB per formula unit: 0.0

Unit cell a=6.2025 b=10.7398 c=11.8333 alpha=90.00 beta=100.04 gamma=90.00
Space group C2/m (No. 12)
Inequivalent atoms, fractional coordinates:
La 0.0000 0.1665 0.0000
Tb 0.0000 0.5000 0.0000
Y 0.0000 0.0000 0.5000
Y 0.0000 0.3336 0.5000
Ho 0.2472 0.5000 0.7466
Ho 0.2490 0.1661 0.7468